Entry 1:
# RbTlNiBr4 | Alexandria | PBE | relaxed
data_RbTlNiBr4
_space_group_name_H-M_alt 'P 1 21/m 1'
_space_group_IT_number 11
_cell_length_a 7.281
_cell_length_b 7.457
_cell_length_c 9.816
_cell_angle_alpha 90.00
_cell_angle_beta 109.30
_cell_angle_gamma 90.00
loop_
_space_group_symop_operation_xyz
'x,y,z'
'-x,-y,-z'
'-x,y+1/2,-z'
'x,-y+1/2,z'
loop_
_atom_site_label
_atom_site_type_symbol
_atom_site_fract_x
_atom_site_fract_y
_atom_site_fract_z
Rb1 Rb 0.206 0.250 0.046
Tl1 Tl 0.264 0.250 0.561
Ni1 Ni 0.234 0.750 0.793
Br1 Br 0.010 0.504 0.724
Br2 Br 0.343 0.750 0.051
Br3 Br 0.406 0.750 0.625
# ΔE_f (raw) ... -0.856 eV per atom



Entry 2:
# Tl3Sn6Au | Alexandria | PBE | relaxed
data_Tl3Sn6Au
_space_group_name_H-M_alt 'R -3 m'
_space_group_IT_number 166
_space_group_name_Hall '-R 3 2"'
_cell_length_a 10.6474
_cell_length_b 10.6474
_cell_length_c 17.4816
_cell_angle_alpha 90.00
_cell_angle_beta 90.00
_cell_angle_gamma 120.00
loop_
_atom_site_label
_atom_site_type_symbol
_atom_site_fract_x
_atom_site_fract_y
_atom_site_fract_z
Tl1 Tl 0.1039 0.5520 0.4178
Sn1 Sn 0.0722 0.5361 0.7564
Sn2 Sn 0.0844 0.5422 0.0767
Au1 Au 0.0000 0.0000 0.0000
Au2 Au 0.0000 0.0000 0.5000
# Calculated total energy ... -3.40 eV/atom



Entry 3:
# ZrTc2Br | Alexandria | PBE | relaxed
data_ZrTc2Br
_space_group_name_H-M_alt 'P 4/m m m'
_space_group_IT_number 123
_space_group_name_Hall '-P 4 2'
_cell_length_a 3.242
_cell_length_b 3.242
_cell_length_c 6.603
_cell_angle_alpha 90.00
_cell_angle_beta 90.00
_cell_angle_gamma 90.00
loop_
_atom_site_label
_atom_site_type_symbol
_atom_site_fract_x
_atom_site_fract_y
_atom_site_fract_z
Zr1 Zr 0.000 0.000 0.000
Tc1 Tc 0.500 0.500 0.250
Br1 Br 0.000 0.000 0.500
# ΔE_f (raw) ... 0.413 eV per atom
# Energy relative to the lowest polymorph listed for this composition ... 1.78 eV/f.u.



Entry 4:
# BeTlP2 | Alexandria | PBE | relaxed
data_BeTlP2
_space_group_name_H-M_alt 'I -4 2 d'
_space_group_IT_number 122
_space_group_name_Hall 'I -4 2bw'
_cell_length_a 5.369
_cell_length_b 5.369
_cell_length_c 11.430
_cell_angle_alpha 90.00
_cell_angle_beta 90.00
_cell_angle_gamma 90.00
loop_
_atom_site_label
_atom_site_type_symbol
_atom_site_fract_x
_atom_site_fract_y
_atom_site_fract_z
Be1 Be 0.000 0.000 0.000
Tl1 Tl 0.000 0.000 0.500
P1 P 0.170 0.250 0.125
# Energy relative to the lowest polymorph listed for this composition ... 0.29 eV/f.u.



Entry 5:
# BC5 | Alexandria | PBE | relaxed
data_BC5
_space_group_name_H-M_alt 'C 1 2/m 1'
_space_group_IT_number 12
_cell_length_a 8.452
_cell_length_b 2.585
_cell_length_c 7.449
_cell_angle_alpha 90.00
_cell_angle_beta 116.31
_cell_angle_gamma 90.00
loop_
_space_group_symop_operation_xyz
'x,y,z'
'-x,-y,-z'
'-x,y,-z'
'x,-y,z'
'x+1/2,y+1/2,z'
'-x+1/2,-y+1/2,-z'
'-x+1/2,y+1/2,-z'
'x+1/2,-y+1/2,z'
loop_
_atom_site_label
_atom_site_type_symbol
_atom_site_fract_x
_atom_site_fract_y
_atom_site_fract_z
B1 B 0.102 0.000 0.139
C1 C 0.077 0.500 0.237
C2 C 0.086 0.000 0.602
C3 C 0.086 0.500 0.723
C4 C 0.246 0.000 0.056
C5 C 0.250 0.000 0.559
# Energy relative to the lowest polymorph listed for this composition ... 0.45 eV/f.u.



Entry 6:
# Sr2InPPd | Alexandria | PBE | relaxed
data_Sr2InPPd
_space_group_name_H-M_alt 'P 4/m m m'
_space_group_IT_number 123
_space_group_name_Hall '-P 4 2'
_cell_length_a 5.791
_cell_length_b 5.791
_cell_length_c 4.496
_cell_angle_alpha 90.00
_cell_angle_beta 90.00
_cell_angle_gamma 90.00
loop_
_atom_site_label
_atom_site_type_symbol
_atom_site_fract_x
_atom_site_fract_y
_atom_site_fract_z
Sr1 Sr 0.000 0.500 0.000
In1 In 0.000 0.000 0.500
P1 P 0.500 0.500 0.000
Pd1 Pd 0.500 0.500 0.500
# Calculated total energy ... -3.86 eV/atom



Entry 7:
# SrNiAs2 | Alexandria | PBE | relaxed
data_SrNiAs2
_space_group_name_H-M_alt 'I -4 2 d'
_space_group_IT_number 122
_space_group_name_Hall 'I -4 2bw'
_cell_length_a 5.000
_cell_length_b 5.000
_cell_length_c 15.553
_cell_angle_alpha 90.00
_cell_angle_beta 90.00
_cell_angle_gamma 90.00
loop_
_atom_site_label
_atom_site_type_symbol
_atom_site_fract_x
_atom_site_fract_y
_atom_site_fract_z
Sr1 Sr 0.000 0.000 0.000
Ni1 Ni 0.000 0.000 0.500
As1 As 0.088 0.250 0.625
# Calculated total energy ... -4.68 eV/atom



Entry 8:
# CsLi2Ag | Alexandria | PBE | relaxed
data_CsLi2Ag
_space_group_name_H-M_alt 'F m -3 m'
_space_group_IT_number 225
_space_group_name_Hall '-F 4 2 3'
_cell_length_a 7.943
_cell_length_b 7.943
_cell_length_c 7.943
_cell_angle_alpha 90.00
_cell_angle_beta 90.00
_cell_angle_gamma 90.00
loop_
_atom_site_label
_atom_site_type_symbol
_atom_site_fract_x
_atom_site_fract_y
_atom_site_fract_z
Cs1 Cs 0.000 0.000 0.000
Li1 Li 0.250 0.250 0.250
Ag1 Ag 0.000 0.000 0.500
# Energy relative to the lowest polymorph listed for this composition ... 1.10 eV/f.u.



Entry 9:
# NpTl3O6 | Alexandria | PBE | relaxed
data_NpTl3O6
_space_group_name_H-M_alt 'F m -3 m'
_space_group_IT_number 225
_space_group_name_Hall '-F 4 2 3'
_cell_length_a 8.698
_cell_length_b 8.698
_cell_length_c 8.698
_cell_angle_alpha 90.00
_cell_angle_beta 90.00
_cell_angle_gamma 90.00
loop_
_atom_site_label
_atom_site_type_symbol
_atom_site_fract_x
_atom_site_fract_y
_atom_site_fract_z
Np1 Np 0.000 0.000 0.000
Tl1 Tl 0.000 0.000 0.500
Tl2 Tl 0.250 0.250 0.250
O1 O 0.000 0.000 0.233
# ΔE_f (raw) ... -1.511 eV per atom



Entry 10:
# Ni6MoPt3 | Alexandria | PBE | relaxed
data_Ni6MoPt3
_space_group_name_H-M_alt 'P 1 21 1'
_space_group_IT_number 4
_cell_length_a 6.621
_cell_length_b 5.233
_cell_length_c 7.880
_cell_angle_alpha 90.00
_cell_angle_beta 107.52
_cell_angle_gamma 90.00
loop_
_space_group_symop_operation_xyz
'x,y,z'
'-x,y+1/2,-z'
loop_
_atom_site_label
_atom_site_type_symbol
_atom_site_fract_x
_atom_site_fract_y
_atom_site_fract_z
Ni1 Ni 0.003 0.000 0.001
Ni2 Ni 0.004 0.495 0.505
Ni3 Ni 0.213 0.755 0.798
Ni4 Ni 0.381 0.996 0.101
Ni5 Ni 0.384 0.991 0.592
Ni6 Ni 0.392 0.504 0.601
Mo1 Mo 0.225 0.248 0.798
Pt1 Pt 0.190 0.747 0.302
Pt2 Pt 0.203 0.246 0.307
Pt3 Pt 0.395 0.500 0.094
# Energy relative to the lowest polymorph listed for this composition ... 0.00 eV/f.u.



Entry 11:
# POs | Alexandria | PBE | relaxed
data_POs
_space_group_name_H-M_alt 'P m -3 n'
_space_group_IT_number 223
_space_group_name_Hall '-P 4n 2 3'
_cell_length_a 6.429
_cell_length_b 6.429
_cell_length_c 6.429
_cell_angle_alpha 90.00
_cell_angle_beta 90.00
_cell_angle_gamma 90.00
loop_
_atom_site_label
_atom_site_type_symbol
_atom_site_fract_x
_atom_site_fract_y
_atom_site_fract_z
P1 P 0.000 0.250 0.500
Os1 Os 0.000 0.500 0.250
# Calculated total energy ... -8.08 eV/atom



Entry 12:
# Ta2Ti5FeCo2 | Alexandria | PBE | relaxed
data_Ta2Ti5FeCo2
_space_group_name_H-M_alt 'P 4/m b m'
_space_group_IT_number 127
_space_group_name_Hall '-P 4 2ab'
_cell_length_a 10.095
_cell_length_b 10.095
_cell_length_c 2.982
_cell_angle_alpha 90.00
_cell_angle_beta 90.00
_cell_angle_gamma 90.00
loop_
_atom_site_label
_atom_site_type_symbol
_atom_site_fract_x
_atom_site_fract_y
_atom_site_fract_z
Ta1 Ta 0.178 0.322 0.000
Ti1 Ti 0.000 0.500 0.500
Ti2 Ti 0.055 0.803 0.500
Fe1 Fe 0.000 0.000 0.000
Co1 Co 0.131 0.631 0.000
# Calculated total energy ... -8.77 eV/atom



Entry 13:
# Zr3ZnTc2 | Alexandria | PBE | relaxed
data_Zr3ZnTc2
_space_group_name_H-M_alt 'P 4/m m m'
_space_group_IT_number 123
_space_group_name_Hall '-P 4 2'
_cell_length_a 3.335
_cell_length_b 3.335
_cell_length_c 9.877
_cell_angle_alpha 90.00
_cell_angle_beta 90.00
_cell_angle_gamma 90.00
loop_
_atom_site_label
_atom_site_type_symbol
_atom_site_fract_x
_atom_site_fract_y
_atom_site_fract_z
Zr1 Zr 0.000 0.000 0.000
Zr2 Zr 0.000 0.000 0.324
Zn1 Zn 0.500 0.500 0.500
Tc1 Tc 0.500 0.500 0.170
# Calculated total energy ... -8.31 eV/atom



Entry 14:
# PrDy2HoHg4 | Alexandria | PBE | relaxed
data_PrDy2HoHg4
_space_group_name_H-M_alt 'R -3 m'
_space_group_IT_number 166
_space_group_name_Hall '-R 3 2"'
_cell_length_a 5.2967
_cell_length_b 5.2967
_cell_length_c 26.1835
_cell_angle_alpha 90.00
_cell_angle_beta 90.00
_cell_angle_gamma 120.00
loop_
_atom_site_label
_atom_site_type_symbol
_atom_site_fract_x
_atom_site_fract_y
_atom_site_fract_z
Pr1 Pr 0.0000 0.0000 0.0000
Dy1 Dy 0.0000 0.0000 0.2492
Ho1 Ho 0.0000 0.0000 0.5000
Hg1 Hg 0.0000 0.0000 0.1275
Hg2 Hg 0.0000 0.0000 0.3786
# Calculated total energy ... -2.94 eV/atom



Entry 15:
# LiSCl2 | Alexandria | PBE | relaxed
data_LiSCl2
_space_group_name_H-M_alt 'R -3 m'
_space_group_IT_number 166
_space_group_name_Hall '-R 3 2"'
_cell_length_a 3.6899
_cell_length_b 3.6899
_cell_length_c 22.1044
_cell_angle_alpha 90.00
_cell_angle_beta 90.00
_cell_angle_gamma 120.00
loop_
_atom_site_label
_atom_site_type_symbol
_atom_site_fract_x
_atom_site_fract_y
_atom_site_fract_z
Li1 Li 0.0000 0.0000 0.0000
S1 S 0.0000 0.0000 0.5000
Cl1 Cl 0.0000 0.0000 0.3957
# ΔE_f (raw) ... -0.615 eV per atom
# Energy relative to the lowest polymorph listed for this composition ... 0.00 eV/f.u.



Entry 16:
# La2P2RuN6 | Alexandria | PBE | relaxed
data_La2P2RuN6
_space_group_name_H-M_alt 'R -3 m'
_space_group_IT_number 166
_space_group_name_Hall '-R 3 2"'
_cell_length_a 5.5198
_cell_length_b 5.5198
_cell_length_c 15.9520
_cell_angle_alpha 90.00
_cell_angle_beta 90.00
_cell_angle_gamma 120.00
loop_
_atom_site_label
_atom_site_type_symbol
_atom_site_fract_x
_atom_site_fract_y
_atom_site_fract_z
La1 La 0.0000 0.0000 0.2231
P1 P 0.0000 0.0000 0.4336
Ru1 Ru 0.0000 0.0000 0.0000
N1 N 0.0010 0.5005 0.7488
# ΔE_f (raw) ... -0.653 eV per atom



Entry 17:
# TlCrSi4 | Alexandria | PBE | relaxed
data_TlCrSi4
_space_group_name_H-M_alt 'F -4 3 m'
_space_group_IT_number 216
_space_group_name_Hall 'F -4 2 3'
_cell_length_a 7.459
_cell_length_b 7.459
_cell_length_c 7.459
_cell_angle_alpha 90.00
_cell_angle_beta 90.00
_cell_angle_gamma 90.00
loop_
_atom_site_label
_atom_site_type_symbol
_atom_site_fract_x
_atom_site_fract_y
_atom_site_fract_z
Tl1 Tl 0.000 0.000 0.000
Cr1 Cr 0.250 0.250 0.750
Si1 Si 0.124 0.124 0.376
# ΔE_f (raw) ... 0.593 eV per atom



Entry 18:
# Ca2MoAu | Alexandria | PBE | relaxed
data_Ca2MoAu
_space_group_name_H-M_alt 'R -3 m'
_space_group_IT_number 166
_space_group_name_Hall '-R 3 2"'
_cell_length_a 3.3905
_cell_length_b 3.3905
_cell_length_c 28.4947
_cell_angle_alpha 90.00
_cell_angle_beta 90.00
_cell_angle_gamma 120.00
loop_
_atom_site_label
_atom_site_type_symbol
_atom_site_fract_x
_atom_site_fract_y
_atom_site_fract_z
Ca1 Ca 0.0000 0.0000 0.2491
Mo1 Mo 0.0000 0.0000 0.0000
Au1 Au 0.0000 0.0000 0.5000
# Energy relative to the lowest polymorph listed for this composition ... 0.80 eV/f.u.



Entry 19:
# CaCO3 | Alexandria | PBE | relaxed
data_CaCO3
_space_group_name_H-M_alt 'C 1 2/c 1'
_space_group_IT_number 15
_cell_length_a 12.548
_cell_length_b 7.308
_cell_length_c 9.442
_cell_angle_alpha 90.00
_cell_angle_beta 115.61
_cell_angle_gamma 90.00
loop_
_space_group_symop_operation_xyz
'x,y,z'
'-x,-y,-z'
'-x,y,-z+1/2'
'x,-y,z+1/2'
'x+1/2,y+1/2,z'
'-x+1/2,-y+1/2,-z'
'-x+1/2,y+1/2,-z+1/2'
'x+1/2,-y+1/2,z+1/2'
loop_
_atom_site_label
_atom_site_type_symbol
_atom_site_fract_x
_atom_site_fract_y
_atom_site_fract_z
Ca1 Ca 0.074 0.225 0.499
Ca2 Ca 0.250 0.250 0.000
C1 C 0.000 0.450 0.750
C2 C 0.191 0.102 0.267
O1 O 0.000 0.373 0.250
O2 O 0.045 0.363 0.884
O3 O 0.100 0.056 0.139
O4 O 0.198 0.059 0.405
O5 O 0.224 0.307 0.742
# ΔE_f (raw) ... -2.260 eV per atom



Entry 20:
# PrPuIrCl | Alexandria | PBE | relaxed
data_PrPuIrCl
_space_group_name_H-M_alt 'R 3 m'
_space_group_IT_number 160
_space_group_name_Hall 'R 3 -2"'
_cell_length_a 4.0318
_cell_length_b 4.0318
_cell_length_c 23.1820
_cell_angle_alpha 90.00
_cell_angle_beta 90.00
_cell_angle_gamma 120.00
loop_
_atom_site_label
_atom_site_type_symbol
_atom_site_fract_x
_atom_site_fract_y
_atom_site_fract_z
Pr1 Pr 0.0000 0.0000 0.0000
Pu1 Pu 0.0000 0.0000 0.1971
Ir1 Ir 0.0000 0.0000 0.5926
Cl1 Cl 0.0000 0.0000 0.7630
# ΔE_f (raw) ... -0.963 eV per atom



Entry 21:
# SrAc2RhO5 | Alexandria | PBE | relaxed
data_SrAc2RhO5
_space_group_name_H-M_alt 'P 4/m b m'
_space_group_IT_number 127
_space_group_name_Hall '-P 4 2ab'
_cell_length_a 7.137
_cell_length_b 7.137
_cell_length_c 5.921
_cell_angle_alpha 90.00
_cell_angle_beta 90.00
_cell_angle_gamma 90.00
loop_
_atom_site_label
_atom_site_type_symbol
_atom_site_fract_x
_atom_site_fract_y
_atom_site_fract_z
Sr1 Sr 0.000 0.000 0.000
Ac1 Ac 0.174 0.326 0.500
Rh1 Rh 0.000 0.500 0.000
O1 O 0.000 0.000 0.500
O2 O 0.142 0.642 0.239
# ΔE_f (raw) ... -2.483 eV per atom



Entry 22:
# Mg2SiTc | Alexandria | PBE | relaxed
data_Mg2SiTc
_space_group_name_H-M_alt 'R -3 m'
_space_group_IT_number 166
_space_group_name_Hall '-R 3 2"'
_cell_length_a 2.8720
_cell_length_b 2.8720
_cell_length_c 28.1786
_cell_angle_alpha 90.00
_cell_angle_beta 90.00
_cell_angle_gamma 120.00
loop_
_atom_site_label
_atom_site_type_symbol
_atom_site_fract_x
_atom_site_fract_y
_atom_site_fract_z
Mg1 Mg 0.0000 0.0000 0.2471
Si1 Si 0.0000 0.0000 0.0000
Tc1 Tc 0.0000 0.0000 0.5000
# ΔE_f (raw) ... 0.272 eV per atom



| no. | M_tot (μB per cell) |
| --- | --- |
| 1 | 4.0 |
| 2 | 0.0 |
| 3 | 0.0 |
| 4 | 0.0 |
| 5 | 0.0 |
| 6 | 0.0 |
| 7 | 0.0 |
| 8 | 0.0 |
| 9 | 0.2 |
| 10 | 1.9 |
| 11 | 0.6 |
| 12 | 0.0 |
| 13 | 0.0 |
| 14 | 2.9 |
| 15 | 3.0 |
| 16 | 5.1 |
| 17 | 15.4 |
| 18 | 2.9 |
| 19 | 0.0 |
| 20 | 15.6 |
| 21 | 2.0 |
| 22 | 0.4 |